1.
Entry from Alexandria: a relaxed structure of RbNdIO6 (PBE-GGA).

The structure in POSCAR format:
```
RbNdIO6
1.0
5.9105 0.0000 0.0000
-2.9552 5.1186 0.0000
0.0000 0.0000 6.0296
Rb Nd I O
1 1 1 6
Direct
0.0000 0.0000 0.0000 Rb
0.6667 0.3333 0.5000 Nd
0.3333 0.6667 0.5000 I
0.0595 0.4141 0.3196 O
0.0595 0.6454 0.6804 O
0.3546 0.4141 0.6804 O
0.3546 0.9405 0.3196 O
0.5859 0.6454 0.3196 O
0.5859 0.9405 0.6804 O
```

The calculation puts the theoretical density at 4.12 g/cm³. For the energy relative to the elements, uncorrected, the calculation gives -1.33 eV/atom.


2.
Entry from Alexandria: a relaxed structure of BaNbPbS2 (PBE-GGA).

The structure in POSCAR format:
```
BaNbPbS2
1.0
4.8972 0.0000 0.0000
0.0000 4.8972 0.0000
0.0000 0.0000 6.1044
Ba Nb Pb S
1 1 1 2
Direct
0.0000 0.0000 0.0000 Ba
0.0000 0.0000 0.5000 Nb
0.5000 0.5000 0.0000 Pb
0.0000 0.5000 0.5000 S
0.5000 0.0000 0.5000 S
```

The calculation puts the theoretical density at 5.69 g/cm³. For the energy relative to the elements, uncorrected, the calculation gives -0.11 eV/atom.


3.
Entry from Alexandria: a relaxed structure of Pr4TlGaO (PBE-GGA).

The structure in POSCAR format:
```
Pr4TlGaO
1.0
3.4007 -8.5090 0.0000
3.4007 8.5090 0.0000
0.0000 0.0000 6.8137
Pr Tl Ga O
8 2 2 2
Direct
0.0000 0.5000 0.0000 Pr
0.0000 0.5000 0.5000 Pr
0.0602 0.9398 0.7500 Pr
0.4200 0.5800 0.7500 Pr
0.5000 0.0000 0.0000 Pr
0.5000 0.0000 0.5000 Pr
0.5800 0.4200 0.2500 Pr
0.9398 0.0602 0.2500 Pr
0.3912 0.6088 0.2500 Tl
0.6088 0.3912 0.7500 Tl
0.1191 0.8809 0.2500 Ga
0.8809 0.1191 0.7500 Ga
0.2719 0.7281 0.7500 O
0.7281 0.2719 0.2500 O
```

The calculation puts the theoretical density at 7.19 g/cm³. For the energy relative to the elements, uncorrected, the calculation gives -1.03 eV/atom.


Please write out number 1 again, unchanged.
Entry from Alexandria: a relaxed structure of RbNdIO6 (PBE-GGA).

The structure in POSCAR format:
```
RbNdIO6
1.0
5.9105 0.0000 0.0000
-2.9552 5.1186 0.0000
0.0000 0.0000 6.0296
Rb Nd I O
1 1 1 6
Direct
0.0000 0.0000 0.0000 Rb
0.6667 0.3333 0.5000 Nd
0.3333 0.6667 0.5000 I
0.0595 0.4141 0.3196 O
0.0595 0.6454 0.6804 O
0.3546 0.4141 0.6804 O
0.3546 0.9405 0.3196 O
0.5859 0.6454 0.3196 O
0.5859 0.9405 0.6804 O
```

The calculation puts the theoretical density at 4.12 g/cm³. For the energy relative to the elements, uncorrected, the calculation gives -1.33 eV/atom.